i:
Here is an optimized crystal structure of TiInBi from Alexandria. Energies are from PBE.

The space group is Fddd (No. 70, origin choice 2) and the conventional cell measures 5.862, 10.085 and 19.493 Å, with angles of 90.00, 90.00 and 90.00 degrees. The asymmetric unit holds Ti at (0.125, 0.125, 0.252), In at (0.125, 0.125, 0.532) and Bi at (0.125, 0.293, 0.125).

The crystal system is orthorhombic.



ii:
Here is an optimized crystal structure of TiInBi from Alexandria. Energies are from PBE.

The space group is Pmma (No. 51) and the conventional cell measures 13.015, 3.977 and 8.471 Å, with angles of 90.00, 90.00 and 90.00 degrees. The asymmetric unit holds Ti at (0.093, 0.000, 0.086), Ti at (0.250, 0.500, 0.590), In at (0.113, 0.000, 0.444), In at (0.250, 0.000, 0.840), Bi at (0.060, 0.500, 0.797) and Bi at (0.250, 0.500, 0.207).

The crystal system is orthorhombic.



i is the most stable structure; the next one sits 127 meV per atom above it.



i:
Here is an optimized crystal structure of TiInBi from Alexandria. Energies are from PBE.

The space group is P3m1 (No. 156) and the conventional cell measures 5.1404, 5.1404 and 3.2621 Å, with angles of 90.00, 90.00 and 120.00 degrees. The asymmetric unit holds Ti at (0.0000, 0.0000, 0.0000), In at (0.6667, 0.3333, 0.1576) and Bi at (0.3333, 0.6667, 0.5622).

The crystal system is trigonal.



ii:
Here is an optimized crystal structure of TiInBi from Alexandria. Energies are from PBE.

The space group is I4mm (No. 107) and the conventional cell measures 3.715, 3.715 and 10.073 Å, with angles of 90.00, 90.00 and 90.00 degrees. The asymmetric unit holds Ti at (0.000, 0.000, 0.000), In at (0.000, 0.000, 0.340) and Bi at (0.000, 0.000, 0.647).

The crystal system is tetragonal.



iii:
Here is an optimized crystal structure of TiInBi from Alexandria. Energies are from PBE.

The space group is Ima2 (No. 46) and the conventional cell measures 5.754, 6.962 and 7.237 Å, with angles of 90.00, 90.00 and 90.00 degrees. The asymmetric unit holds Ti at (0.000, 0.000, 0.000), In at (0.250, 0.173, 0.678) and Bi at (0.250, 0.675, 0.821).

The crystal system is orthorhombic.



iii is the most stable structure; the next one sits 109 meV per atom above it.



i:
Here is an optimized crystal structure of TiInBi3 from Alexandria. Energies are from PBE.

The space group is Pm-3m (No. 221) and the conventional cell measures 5.665, 5.665 and 5.665 Å, with angles of 90.00, 90.00 and 90.00 degrees. The asymmetric unit holds Ti at (0.000, 0.000, 0.000), In at (0.500, 0.500, 0.500) and Bi at (0.000, 0.500, 0.500).

The crystal system is cubic.



ii:
Here is an optimized crystal structure of TiInBi3 from Alexandria. Energies are from PBE.

The space group is Pm-3m (No. 221) and the conventional cell measures 5.466, 5.466 and 5.466 Å, with angles of 90.00, 90.00 and 90.00 degrees. The asymmetric unit holds Ti at (0.000, 0.000, 0.000), In at (0.500, 0.500, 0.500) and Bi at (0.000, 0.000, 0.500).

The crystal system is cubic.



ii is the most stable structure; the next one sits 952 meV per atom above it.



i:
Here is an optimized crystal structure of Tl3In3Bi2 from Alexandria. Energies are from PBE.

The space group is Pmmm (No. 47) and the conventional cell measures 4.981, 5.073 and 9.583 Å, with angles of 90.00, 90.00 and 90.00 degrees. The asymmetric unit holds Tl at (0.000, 0.000, 0.000), Tl at (0.500, 0.000, 0.254), In at (0.000, 0.000, 0.500), In at (0.500, 0.500, 0.000), In at (0.500, 0.500, 0.500) and Bi at (0.000, 0.500, 0.256).

The crystal system is orthorhombic.



ii:
Here is an optimized crystal structure of Tl3In3Bi2 from Alexandria. Energies are from PBE.

The space group is P-1 (No. 2) and the conventional cell measures 4.322, 5.320 and 11.136 Å, with angles of 76.64, 78.96 and 89.61 degrees. The asymmetric unit holds Tl at (0.000, 0.000, 0.000), Tl at (0.126, 0.632, 0.749), In at (0.371, 0.863, 0.258), In at (0.500, 0.500, 0.000) and Bi at (0.247, 0.247, 0.505).

The crystal system is triclinic.



i is the most stable structure; the next one sits 22 meV per atom above it.